A relaxed BaPuI2O8 crystal, computed with PBE-GGA.

Calculated values
The value obtained for the density of states at the Fermi level is 0.44 states/eV per cell. The density is 4.82 g/cm³. As for the space group: P-3m1. The calculation puts the volume at 263 Å³ per cell. Its electronic total energy is -75.43 eV/cell. The calculation puts the uncorrected formation energy at -132.0 kJ/mol of atoms.

```
BaPuI2O8
1.0
6.3954 0.0000 0.0000
-3.1977 5.5386 0.0000
0.0000 0.0000 7.4253
Ba Pu I O
1 1 2 8
direct
0.0000 0.0000 0.0000
0.0000 0.0000 0.5000
0.3333 0.6667 0.3024
0.6667 0.3333 0.6976
0.1528 0.3057 0.3074
0.1528 0.8472 0.3074
0.3057 0.1528 0.6926
0.3333 0.6667 0.0602
0.6667 0.3333 0.9398
0.6943 0.8472 0.3074
0.8472 0.1528 0.6926
0.8472 0.6943 0.6926
```